HgPtRh2: relaxed, GGA-PBE.

Unit cell a=2.8493 b=3.8944 c=5.8339 alpha=90.00 beta=90.00 gamma=90.00
Last column: nearest neighbours and their distance in Å.
Positions (direct):
Hg (0.0000, 0.0000, 0.0000)  6 Rh 2.85-2.99, 2 Hg 2.85, 4 Pt 2.88
Pt (0.5000, 0.5000, 0.2707)  5 Rh 2.67-2.79, 2 Pt 2.85, 4 Hg 2.88
Rh (0.0000, 0.0000, 0.5117)  6 Rh 2.72-2.85, 4 Pt 2.79, 2 Hg 2.85-2.99
Rh (0.5000, 0.5000, 0.7275)  1 Pt 2.67, 6 Rh 2.72-2.85, 4 Hg 2.89

Calculated values
Total energy (eV per atom): -5.13
D(E_F) (states/eV per cell): 6.10
M_tot (Bohr magnetons per cell): 0.151
SG: No. 25
Energy relative to the elements (eV/atom): 0.128


HgPtRh2: relaxed, GGA-PBE.

Unit cell a=2.8353 b=2.8353 c=8.0419 alpha=90.00 beta=90.00 gamma=90.00
Last column: nearest neighbours and their distance in Å.
Positions (direct):
Hg (0.0000, 0.0000, 0.0000)  4 Hg 2.84, 4 Rh 2.94, 4 Pt 3.00
Pt (0.5000, 0.5000, 0.2779)  4 Rh 2.77, 4 Pt 2.84, 4 Hg 3.00
Rh (0.0000, 0.0000, 0.5151)  8 Rh 2.66-2.84, 4 Pt 2.77
Rh (0.5000, 0.5000, 0.7320)  8 Rh 2.66-2.84, 4 Hg 2.94

Calculated values
Total energy (eV per atom): -5.17
D(E_F) (states/eV per cell): 4.60
M_tot (Bohr magnetons per cell): 0.000
SG: No. 99
Energy relative to the elements (eV/atom): 0.093


HgPtRh2: relaxed, GGA-PBE.

Unit cell a=4.8662 b=4.8662 c=4.9366 alpha=99.70 beta=99.70 gamma=34.03
Last column: nearest neighbours and their distance in Å.
Positions (direct):
Hg (0.0000, 0.0000, 0.0000)  3 Pt 2.80-2.89, 7 Rh 2.83-2.89, 2 Hg 2.85
Pt (0.2428, 0.2428, 0.7361)  7 Rh 2.73-2.98, 3 Hg 2.80-2.89, 2 Pt 2.85
Rh (0.4957, 0.4957, 0.4928)  5 Rh 2.72-2.85, 3 Pt 2.79-2.82, 4 Hg 2.83-2.87
Rh (0.7553, 0.7553, 0.2702)  5 Rh 2.72-2.85, 4 Pt 2.73-2.98, 3 Hg 2.83-2.89

Calculated values
Total energy (eV per atom): -5.14
D(E_F) (states/eV per cell): 5.27
M_tot (Bohr magnetons per cell): 0.000
SG: No. 8
Energy relative to the elements (eV/atom): 0.124


Repeat the third record exactly.
HgPtRh2: relaxed, GGA-PBE.

Unit cell a=4.8662 b=4.8662 c=4.9366 alpha=99.70 beta=99.70 gamma=34.03
Last column: nearest neighbours and their distance in Å.
Positions (direct):
Hg (0.0000, 0.0000, 0.0000)  3 Pt 2.80-2.89, 7 Rh 2.83-2.89, 2 Hg 2.85
Pt (0.2428, 0.2428, 0.7361)  7 Rh 2.73-2.98, 3 Hg 2.80-2.89, 2 Pt 2.85
Rh (0.4957, 0.4957, 0.4928)  5 Rh 2.72-2.85, 3 Pt 2.79-2.82, 4 Hg 2.83-2.87
Rh (0.7553, 0.7553, 0.2702)  5 Rh 2.72-2.85, 4 Pt 2.73-2.98, 3 Hg 2.83-2.89

Calculated values
Total energy (eV per atom): -5.14
D(E_F) (states/eV per cell): 5.27
M_tot (Bohr magnetons per cell): 0.000
SG: No. 8
Energy relative to the elements (eV/atom): 0.124


What did the third record say?
HgPtRh2: relaxed, GGA-PBE.

Unit cell a=4.8662 b=4.8662 c=4.9366 alpha=99.70 beta=99.70 gamma=34.03
Last column: nearest neighbours and their distance in Å.
Positions (direct):
Hg (0.0000, 0.0000, 0.0000)  3 Pt 2.80-2.89, 7 Rh 2.83-2.89, 2 Hg 2.85
Pt (0.2428, 0.2428, 0.7361)  7 Rh 2.73-2.98, 3 Hg 2.80-2.89, 2 Pt 2.85
Rh (0.4957, 0.4957, 0.4928)  5 Rh 2.72-2.85, 3 Pt 2.79-2.82, 4 Hg 2.83-2.87
Rh (0.7553, 0.7553, 0.2702)  5 Rh 2.72-2.85, 4 Pt 2.73-2.98, 3 Hg 2.83-2.89

Calculated values
Total energy (eV per atom): -5.14
D(E_F) (states/eV per cell): 5.27
M_tot (Bohr magnetons per cell): 0.000
SG: No. 8
Energy relative to the elements (eV/atom): 0.124


Question: Which formula does entry 2 have?
Answer: HgPtRh2


Question: Number 2 is which compound?
Answer: HgPtRh2